(1)
RbCo2PtBr: optimized geometry, PBE.

Cell: 4.774 5.642 4.774 Å, 90.00 90.00 90.00°
Fractional coordinates of all 5 atoms:
Br1 0.000 0.500 0.000
Co1 0.000 0.000 0.500
Co2 0.500 0.000 0.000
Rb1 0.000 0.000 0.000
Pt1 0.500 0.500 0.500

Computed properties:
Theoretical density: 6.176 g/cm³
Energy relative to the elements, uncorrected: 2.225 eV/atom

=====

(2)
RbCoPtBr6: optimized geometry, PBE.

Cell: 6.522 7.264 7.665 Å, 95.70 93.42 56.27°
Fractional coordinates of all 9 atoms:
Rb1 0.086 0.958 0.001
Co1 0.336 0.332 0.500
Pt1 0.656 0.672 0.500
Br1 0.998 0.378 0.312
Br2 0.343 0.034 0.645
Br3 0.623 0.314 0.716
Br4 0.002 0.622 0.689
Br5 0.340 0.624 0.355
Br6 0.617 0.066 0.282

Computed properties:
Theoretical density: 4.525 g/cm³
Energy relative to the elements, uncorrected: -0.505 eV/atom

=====

Number 1: magnetization 0.66 μB/atom. Number 2: magnetization 0.00 μB/atom.